Entry 1:
Compound: MnTeOs2
Source: the Alexandria database
Functional: GGA-PBEsol
Structure: relaxed

SG ... Pmm2, No. 25
Uncorrected formation energy ... 0.611 eV per atom

Geometry as POSCAR:
```
MnTeOs2
1.0
2.917 0.000 0.000
0.000 3.764 0.000
0.000 0.000 5.691
Mn Te Os
1 1 2
direct
0.000 0.000 0.000
0.500 0.500 0.749
0.000 0.000 0.437
0.500 0.500 0.238
```

Entry 2:
Compound: LaAlGe3
Source: the Alexandria database
Functional: GGA-PBEsol
Structure: relaxed

SG ... Pm-3m, No. 221
E_form ... -0.046 eV/atom

Geometry as POSCAR:
```
LaAlGe3
1.0
4.840 0.000 0.000
0.000 4.840 0.000
0.000 0.000 4.840
La Al Ge
1 1 3
direct
0.000 0.000 0.000
0.500 0.500 0.500
0.000 0.500 0.500
0.500 0.000 0.500
0.500 0.500 0.000
```

Entry 3:
Compound: La2CdIn
Source: the Alexandria database
Functional: GGA-PBEsol
Structure: relaxed

SG ... R-3m, No. 166
E_form ... -0.190 eV/atom

Geometry as POSCAR:
```
La2CdIn
1.0
1.860 1.074 10.171
-1.860 1.074 10.171
0.000 -2.148 10.171
La Cd In
2 1 1
direct
0.249 0.249 0.249
0.751 0.751 0.751
0.000 0.000 0.000
0.500 0.500 0.500
```

Entry 4:
Compound: AlZn3F
Source: the Alexandria database
Functional: GGA-PBEsol
Structure: relaxed

SG ... Pm-3m, No. 221
Uncorrected formation energy ... -0.060 eV per atom

Geometry as POSCAR:
```
AlZn3F
1.0
4.323 0.000 0.000
0.000 4.323 0.000
0.000 0.000 4.323
Al Zn F
1 3 1
direct
0.000 0.000 0.000
0.000 0.500 0.500
0.500 0.000 0.500
0.500 0.500 0.000
0.500 0.500 0.500
```

Entry 5:
Compound: BeAl2SiW
Source: the Alexandria database
Functional: GGA-PBEsol
Structure: relaxed

SG ... P4/mmm, No. 123
Uncorrected formation energy ... 1.264 eV per atom

Geometry as POSCAR:
```
BeAl2SiW
1.0
4.804 0.000 0.000
0.000 4.804 0.000
0.000 0.000 4.370
Be Al Si W
1 2 1 1
direct
0.000 0.000 0.000
0.000 0.500 0.500
0.500 0.000 0.500
0.500 0.500 0.000
0.000 0.000 0.500
```

Entry 6:
Compound: Os3Rh
Source: the Alexandria database
Functional: GGA-PBEsol
Structure: relaxed

SG ... Pmmn, No. 59
E_form ... 0.021 eV/atom

Geometry as POSCAR:
```
Os3Rh
1.0
4.306 0.000 0.000
0.000 5.433 0.000
0.000 0.000 4.714
Os Rh
6 2
direct
0.250 0.001 0.168
0.250 0.250 0.668
0.250 0.499 0.168
0.750 0.501 0.832
0.750 0.750 0.332
0.750 0.999 0.832
0.250 0.750 0.664
0.750 0.250 0.336
```

Entry 7:
Compound: AsRu2WI
Source: the Alexandria database
Functional: GGA-PBEsol
Structure: relaxed

SG ... P4/mmm, No. 123
Uncorrected formation energy ... 2.605 eV per atom

Geometry as POSCAR:
```
AsRu2WI
1.0
4.672 0.000 0.000
0.000 4.672 0.000
0.000 0.000 5.140
As Ru W I
1 2 1 1
direct
0.000 0.000 0.000
0.000 0.500 0.500
0.500 0.000 0.500
0.500 0.500 0.000
0.000 0.000 0.500
```

Entry 8:
Compound: AgGeSbI2
Source: the Alexandria database
Functional: GGA-PBEsol
Structure: relaxed

SG ... P4/mmm, No. 123
Uncorrected formation energy ... 0.565 eV per atom

Geometry as POSCAR:
```
AgGeSbI2
1.0
5.535 0.000 0.000
0.000 5.535 0.000
0.000 0.000 5.411
Ag Ge Sb I
1 1 1 2
direct
0.000 0.000 0.000
0.500 0.500 0.500
0.500 0.500 0.000
0.000 0.500 0.500
0.500 0.000 0.500
```

Entry 9:
Compound: V3B4
Source: the Alexandria database
Functional: GGA-PBEsol
Structure: relaxed

SG ... Immm, No. 71
E_form ... -0.888 eV/atom

Geometry as POSCAR:
```
V3B4
1.0
-1.480 1.501 6.555
1.480 -1.501 6.555
1.480 1.501 -6.555
V B
3 4
direct
0.000 0.000 0.000
0.188 0.688 0.500
0.812 0.312 0.500
0.363 0.863 0.500
0.434 0.434 0.000
0.566 0.566 0.000
0.637 0.137 0.500
```

Entry 10:
Compound: CaCo
Source: the Alexandria database
Functional: GGA-PBEsol
Structure: relaxed

SG ... P4/nmm, No. 129
E_form ... 0.299 eV/atom

Geometry as POSCAR:
```
CaCo
1.0
3.206 0.000 0.000
0.000 3.206 0.000
0.000 0.000 8.115
Ca Co
2 2
direct
0.250 0.250 0.204
0.750 0.750 0.796
0.250 0.250 0.544
0.750 0.750 0.456
```

Entry 11:
Compound: Li2NiAs
Source: the Alexandria database
Functional: GGA-PBEsol
Structure: relaxed

SG ... Pmmm, No. 47
E_form ... -0.276 eV/atom

Geometry as POSCAR:
```
Li2NiAs
1.0
2.755 0.000 0.000
0.000 3.930 0.000
0.000 0.000 4.751
Li Ni As
2 1 1
direct
0.000 0.000 0.249
0.000 0.000 0.751
0.500 0.500 0.000
0.500 0.500 0.500
```

Entry 12:
Compound: TaBeIr4
Source: the Alexandria database
Functional: GGA-PBEsol
Structure: relaxed

SG ... F-43m, No. 216
E_form ... 0.161 eV/atom

Geometry as POSCAR:
```
TaBeIr4
1.0
0.000 3.584 3.584
3.584 0.000 3.584
3.584 3.584 0.000
Ta Be Ir
1 1 4
direct
0.000 0.000 0.000
0.750 0.750 0.750
0.376 0.376 0.376
0.376 0.376 0.873
0.376 0.873 0.376
0.873 0.376 0.376
```

Record-wise calculated density values, in Mg/m³: 14.960; 5.621; 6.878; 4.978; 4.527; 20.289; 8.700; 5.570; 5.589; 3.942; 4.762; 17.290